# 1
Here is a relaxed structure of SrSn3Ir2 from Alexandria. Energies are from PBE.

abc: 8.5420 8.5420 8.5420
angles: 44.59 44.59 44.59
Atoms (fractional coordinates):
Sr  0.2129  0.2129  0.2129
Sr  0.7871  0.7871  0.7871
Sn  0.2516  0.7449  0.7449
Sn  0.2551  0.2551  0.7484
Sn  0.2551  0.7484  0.2551
Sn  0.7449  0.2516  0.7449
Sn  0.7449  0.7449  0.2516
Sn  0.7484  0.2551  0.2551
Ir  0.0000  0.0000  0.0000
Ir  0.0000  0.5000  0.5000
Ir  0.5000  0.0000  0.5000
Ir  0.5000  0.5000  0.0000

Calculated values
- E: -5.356 eV/atom
- Space-group type: No. 166

***

# 2
Here is a relaxed structure of SrSnIr3 from Alexandria. Energies are from PBE.

abc: 4.9502 4.9502 4.9502
angles: 90.00 90.00 90.00
Atoms (fractional coordinates):
Sr  0.0000  0.0000  0.0000
Sn  0.5000  0.5000  0.5000
Ir  0.0000  0.5000  0.5000
Ir  0.5000  0.0000  0.5000
Ir  0.5000  0.5000  0.0000

Calculated values
- E: -5.579 eV/atom
- Space-group type: No. 221
- Offset from the most stable computed form: 0.0000 eV per atom

***

# 3
Here is a relaxed structure of Sr3Sn7Ir2 from Alexandria. Energies are from PBE.

abc: 5.9671 4.7253 12.2115
angles: 90.00 100.94 90.00
Atoms (fractional coordinates):
Sr  0.0000  0.0000  0.0000
Sr  0.1898  0.0000  0.3773
Sr  0.8102  0.0000  0.6227
Sn  0.0764  0.5000  0.7987
Sn  0.3400  0.5000  0.6050
Sn  0.4342  0.0000  0.8113
Sn  0.5000  0.5000  0.0000
Sn  0.5658  0.0000  0.1887
Sn  0.6600  0.5000  0.3950
Sn  0.9236  0.5000  0.2013
Ir  0.3548  0.5000  0.1965
Ir  0.6452  0.5000  0.8035

Calculated values
- E: -4.615 eV/atom
- Space-group type: No. 10

***

What energy of formation from the pure elements values result from the calculations? In sequence: -0.120 0.874 -0.383 eV per atom.